Below is a relaxed NaAl3Zn crystal, with properties calculated at the PBE level.

a = 4.912 Å, b = 4.912 Å, c = 4.912 Å
α = 90.00°, β = 90.00°, γ = 90.00°
Atoms (fractional coordinates):
Na (0.000, 0.000, 0.000)
Al (0.000, 0.500, 0.500)
Al (0.500, 0.000, 0.500)
Al (0.500, 0.500, 0.000)
Zn (0.500, 0.500, 0.500)

Crystal system: cubic
Calculated total energy in eV per atom: -2.33
Volume in A^3/atom: 23.7
Formation energy in meV per atom: 431
Space group: No. 221
D(E_F) in states/eV/f.u.: 2.7


Below is a relaxed NaAl8Zn6 crystal, with properties calculated at the PBE level.

a = 6.723 Å, b = 6.723 Å, c = 6.723 Å
α = 72.67°, β = 72.67°, γ = 72.67°
Atoms (fractional coordinates):
Na (0.000, 0.000, 0.000)
Al (0.143, 0.805, 0.466)
Al (0.195, 0.534, 0.857)
Al (0.216, 0.216, 0.216)
Al (0.466, 0.143, 0.805)
Al (0.534, 0.857, 0.195)
Al (0.784, 0.784, 0.784)
Al (0.805, 0.466, 0.143)
Al (0.857, 0.195, 0.534)
Zn (0.171, 0.351, 0.570)
Zn (0.351, 0.570, 0.171)
Zn (0.430, 0.829, 0.649)
Zn (0.570, 0.171, 0.351)
Zn (0.649, 0.430, 0.829)
Zn (0.829, 0.649, 0.430)

Crystal system: trigonal
Calculated total energy in eV per atom: -2.54
Volume in A^3/atom: 18.0
Formation energy in meV per atom: 51
Space group: No. 148
D(E_F) in states/eV/f.u.: 4.6


Below is a relaxed NaAl7Zn12 crystal, with properties calculated at the PBE level.

a = 8.188 Å, b = 8.188 Å, c = 8.188 Å
α = 109.47°, β = 109.47°, γ = 109.47°
Atoms (fractional coordinates):
Na (0.000, 0.000, 0.000)
Al (0.000, 0.000, 0.500)
Al (0.000, 0.500, 0.000)
Al (0.000, 0.500, 0.500)
Al (0.500, 0.000, 0.000)
Al (0.500, 0.000, 0.500)
Al (0.500, 0.500, 0.000)
Al (0.500, 0.500, 0.500)
Zn (0.102, 0.745, 0.357)
Zn (0.255, 0.357, 0.612)
Zn (0.255, 0.643, 0.898)
Zn (0.357, 0.102, 0.745)
Zn (0.357, 0.612, 0.255)
Zn (0.388, 0.745, 0.643)
Zn (0.612, 0.255, 0.357)
Zn (0.643, 0.388, 0.745)
Zn (0.643, 0.898, 0.255)
Zn (0.745, 0.357, 0.102)
Zn (0.745, 0.643, 0.388)
Zn (0.898, 0.255, 0.643)

Crystal system: cubic
Calculated total energy in eV per atom: -1.91
Volume in A^3/atom: 21.1
Formation energy in meV per atom: 233
Space group: No. 204
D(E_F) in states/eV/f.u.: 6.7


Below is a relaxed NaAl3Zn9 crystal, with properties calculated at the PBE level.

a = 6.917 Å, b = 6.917 Å, c = 6.878 Å
α = 98.66°, β = 98.66°, γ = 134.20°
Atoms (fractional coordinates):
Na (0.000, 0.000, 0.000)
Al (0.000, 0.500, 0.000)
Al (0.500, 0.000, 0.000)
Al (0.500, 0.500, 0.500)
Zn (0.000, 0.000, 0.500)
Zn (0.002, 0.355, 0.353)
Zn (0.277, 0.495, 0.779)
Zn (0.355, 0.002, 0.353)
Zn (0.495, 0.277, 0.779)
Zn (0.505, 0.723, 0.221)
Zn (0.645, 0.998, 0.647)
Zn (0.723, 0.505, 0.221)
Zn (0.998, 0.645, 0.647)

Crystal system: monoclinic
Calculated total energy in eV per atom: -1.84
Volume in A^3/atom: 16.7
Formation energy in meV per atom: 9
Space group: No. 12
D(E_F) in states/eV/f.u.: 3.2


Below is a relaxed Na2AlZn crystal, with properties calculated at the PBE level.

a = 11.453 Å, b = 11.453 Å, c = 11.453 Å
α = 15.45°, β = 15.45°, γ = 15.45°
Atoms (fractional coordinates):
Na (0.090, 0.090, 0.090)
Na (0.910, 0.910, 0.910)
Al (0.000, 0.000, 0.000)
Zn (0.500, 0.500, 0.500)

Crystal system: trigonal
Calculated total energy in eV per atom: -1.63
Volume in A^3/atom: 23.2
Formation energy in meV per atom: 283
Space group: No. 166
D(E_F) in states/eV/f.u.: 1.8


Below is a relaxed Na2AlZn crystal, with properties calculated at the PBE level.

a = 5.107 Å, b = 5.107 Å, c = 5.107 Å
α = 60.00°, β = 60.00°, γ = 60.00°
Atoms (fractional coordinates):
Na (0.250, 0.250, 0.250)
Na (0.750, 0.750, 0.750)
Al (0.000, 0.000, 0.000)
Zn (0.500, 0.500, 0.500)

Crystal system: cubic
Calculated total energy in eV per atom: -1.65
Volume in A^3/atom: 23.6
Formation energy in meV per atom: 259
Space group: No. 225
D(E_F) in states/eV/f.u.: 2.0


Below is a relaxed NaAlZn11 crystal, with properties calculated at the PBE level.

a = 6.839 Å, b = 6.839 Å, c = 6.874 Å
α = 98.42°, β = 98.42°, γ = 134.59°
Atoms (fractional coordinates):
Na (0.000, 0.000, 0.000)
Al (0.000, 0.000, 0.500)
Zn (0.000, 0.500, 0.000)
Zn (0.001, 0.354, 0.353)
Zn (0.281, 0.502, 0.782)
Zn (0.354, 0.001, 0.353)
Zn (0.498, 0.719, 0.218)
Zn (0.500, 0.000, 0.000)
Zn (0.500, 0.500, 0.500)
Zn (0.502, 0.281, 0.782)
Zn (0.646, 0.999, 0.647)
Zn (0.719, 0.498, 0.218)
Zn (0.999, 0.646, 0.647)

Crystal system: monoclinic
Calculated total energy in eV per atom: -1.48
Volume in A^3/atom: 16.3
Formation energy in meV per atom: -9
Space group: No. 12
D(E_F) in states/eV/f.u.: 2.6


Below is a relaxed Na2Al2Zn crystal, with properties calculated at the PBE level.

a = 6.700 Å, b = 6.700 Å, c = 5.165 Å
α = 90.00°, β = 90.00°, γ = 90.00°
Atoms (fractional coordinates):
Na (0.173, 0.327, 0.000)
Na (0.327, 0.827, 0.000)
Na (0.673, 0.173, 0.000)
Na (0.827, 0.673, 0.000)
Al (0.139, 0.639, 0.500)
Al (0.361, 0.139, 0.500)
Al (0.639, 0.861, 0.500)
Al (0.861, 0.361, 0.500)
Zn (0.000, 0.000, 0.500)
Zn (0.500, 0.500, 0.500)

Crystal system: tetragonal
Calculated total energy in eV per atom: -2.15
Volume in A^3/atom: 23.2
Formation energy in meV per atom: 133
Space group: No. 127
D(E_F) in states/eV/f.u.: 2.8


Below is a relaxed Na3AlZn8 crystal, with properties calculated at the PBE level.

a = 9.170 Å, b = 9.170 Å, c = 9.170 Å
α = 34.12°, β = 34.12°, γ = 34.12°
Atoms (fractional coordinates):
Na (0.000, 0.000, 0.000)
Na (0.126, 0.126, 0.126)
Na (0.625, 0.625, 0.625)
Al (0.500, 0.500, 0.500)
Zn (0.062, 0.062, 0.558)
Zn (0.062, 0.558, 0.062)
Zn (0.069, 0.564, 0.564)
Zn (0.314, 0.314, 0.314)
Zn (0.558, 0.062, 0.062)
Zn (0.564, 0.069, 0.564)
Zn (0.564, 0.564, 0.069)
Zn (0.813, 0.813, 0.813)

Crystal system: trigonal
Calculated total energy in eV per atom: -1.48
Volume in A^3/atom: 18.0
Formation energy in meV per atom: 9
Space group: No. 160
D(E_F) in states/eV/f.u.: 4.4


Below is a relaxed NaAl2Zn crystal, with properties calculated at the PBE level.

a = 3.267 Å, b = 3.267 Å, c = 7.554 Å
α = 90.00°, β = 90.00°, γ = 90.00°
Atoms (fractional coordinates):
Na (0.000, 0.000, 0.000)
Al (0.500, 0.500, 0.306)
Al (0.500, 0.500, 0.694)
Zn (0.000, 0.000, 0.500)

Crystal system: tetragonal
Calculated total energy in eV per atom: -2.40
Volume in A^3/atom: 20.2
Formation energy in meV per atom: 124
Space group: No. 123
D(E_F) in states/eV/f.u.: 1.4


Below is a relaxed Na2AlZn crystal, with properties calculated at the PBE level.

a = 6.570 Å, b = 6.570 Å, c = 6.570 Å
α = 100.53°, β = 100.53°, γ = 129.38°
Atoms (fractional coordinates):
Na (0.104, 0.625, 0.979)
Na (0.375, 0.354, 0.479)
Na (0.646, 0.125, 0.021)
Na (0.875, 0.896, 0.521)
Al (0.250, 0.750, 0.500)
Al (0.500, 0.500, 0.000)
Zn (0.000, 0.000, 0.000)
Zn (0.750, 0.250, 0.500)

Crystal system: tetragonal
Calculated total energy in eV per atom: -1.61
Volume in A^3/atom: 24.8
Formation energy in meV per atom: 309
Space group: No. 122
D(E_F) in states/eV/f.u.: 2.2


Below is a relaxed NaAl5Zn4 crystal, with properties calculated at the PBE level.

a = 8.136 Å, b = 9.255 Å, c = 4.959 Å
α = 90.00°, β = 90.00°, γ = 90.00°
Atoms (fractional coordinates):
Na (0.250, 0.250, 0.096)
Na (0.750, 0.750, 0.904)
Al (0.078, 0.501, 0.750)
Al (0.078, 0.998, 0.750)
Al (0.250, 0.750, 0.842)
Al (0.422, 0.501, 0.750)
Al (0.422, 0.998, 0.750)
Al (0.578, 0.002, 0.250)
Al (0.578, 0.498, 0.250)
Al (0.750, 0.250, 0.158)
Al (0.922, 0.002, 0.250)
Al (0.922, 0.498, 0.250)
Zn (0.016, 0.750, 0.457)
Zn (0.250, 0.568, 0.251)
Zn (0.250, 0.932, 0.251)
Zn (0.484, 0.750, 0.457)
Zn (0.516, 0.250, 0.543)
Zn (0.750, 0.068, 0.749)
Zn (0.750, 0.432, 0.749)
Zn (0.984, 0.250, 0.543)

Crystal system: orthorhombic
Calculated total energy in eV per atom: -2.41
Volume in A^3/atom: 18.7
Formation energy in meV per atom: 105
Space group: No. 59
D(E_F) in states/eV/f.u.: 3.8


The lowest volume belongs to which entry? NaAlZn11


Which value of D(E_F) does entry 10 give? 1.4 states/eV/f.u.